A plane-wave DFT calculation with GGA-PBE was carried out for a geometry-optimized Na2CaAcF8 structure.

```
Na2CaAcF8
1.0
4.172 0.000 0.000
0.000 8.147 0.000
-0.012 0.000 5.421
Na Ca Ac F
2 1 1 8
Direct
0.000 0.240 0.000 Na
0.000 0.760 0.000 Na
0.500 0.000 0.500 Ca
0.500 0.500 0.500 Ac
0.001 0.000 0.724 F
0.001 0.500 0.752 F
0.499 0.240 0.253 F
0.499 0.760 0.253 F
0.501 0.240 0.747 F
0.501 0.760 0.747 F
0.999 0.000 0.276 F
0.999 0.500 0.248 F
```

Properties
- Density of states at the Fermi level: 8.88 states/eV per cell
- Crystal system: monoclinic
- SG: P2/m, No. 10
- DFT total energy: -5.239 eV per atom
- E_form (uncorrected): -39.15 eV per formula unit

A plane-wave DFT calculation with GGA-PBE was carried out for a geometry-optimized RbCaAcF6 structure.

```
RbCaAcF6
1.0
-3.889 4.136 5.676
3.889 -4.136 5.676
3.889 4.136 -5.676
Rb Ca Ac F
2 2 2 12
Direct
0.348 0.098 0.250 Rb
0.652 0.902 0.750 Rb
0.000 0.000 0.500 Ca
0.000 0.500 0.000 Ca
0.000 0.500 0.500 Ac
0.500 0.500 0.000 Ac
0.067 0.345 0.180 F
0.067 0.887 0.721 F
0.103 0.353 0.750 F
0.334 0.113 0.680 F
0.334 0.655 0.221 F
0.367 0.617 0.750 F
0.633 0.383 0.250 F
0.666 0.345 0.779 F
0.666 0.887 0.320 F
0.897 0.647 0.250 F
0.933 0.113 0.279 F
0.933 0.655 0.820 F
```

Properties
- Density of states at the Fermi level: 0.00 states/eV per cell
- Crystal system: orthorhombic
- SG: Imma, No. 74
- DFT total energy: -5.753 eV per atom
- E_form (uncorrected): -33.47 eV per formula unit

A plane-wave DFT calculation with GGA-PBE was carried out for a geometry-optimized Ca2AcFeN4 structure.

```
Ca2AcFeN4
1.0
1.734 -5.915 0.000
1.734 5.915 0.000
0.000 0.000 11.790
Ca Ac Fe N
4 2 2 8
Direct
0.129 0.871 0.541 Ca
0.129 0.871 0.959 Ca
0.871 0.129 0.041 Ca
0.871 0.129 0.459 Ca
0.413 0.587 0.750 Ac
0.587 0.413 0.250 Ac
0.319 0.681 0.250 Fe
0.681 0.319 0.750 Fe
0.105 0.895 0.750 N
0.228 0.772 0.137 N
0.228 0.772 0.363 N
0.500 0.500 0.000 N
0.500 0.500 0.500 N
0.772 0.228 0.637 N
0.772 0.228 0.863 N
0.895 0.105 0.250 N
```

Properties
- Density of states at the Fermi level: 7.55 states/eV per cell
- Crystal system: orthorhombic
- SG: Cmcm, No. 63
- DFT total energy: -6.888 eV per atom
- E_form (uncorrected): -5.23 eV per formula unit

Q: Among the records above, which one has the lowest E_form (uncorrected)?
A: Na2CaAcF8

Q: What is the DFT total energy in the second record?
A: -5.753 eV per atom

Q: Among the records above, which one has the lowest E_form (uncorrected)?
A: Na2CaAcF8